1.
The following is a GGA-PBE calculation of crystalline TlNi2SBr at its relaxed geometry, from the Alexandria database.

a = 4.228 Å, b = 7.083 Å, c = 4.228 Å
α = 90.00°, β = 90.00°, γ = 90.00°
Atoms (fractional coordinates):
Ni  0.000  0.000  0.500
Ni  0.500  0.000  0.000
Tl  0.000  0.500  0.000
S  0.000  0.000  0.000
Br  0.500  0.500  0.500

Calculated values
Space-group type ... No. 123
DOS(E_F) ... 8.917 states/eV per cell
Raw formation energy ... 0.006 eV/atom

2.
The following is a GGA-PBE calculation of crystalline Hf2MgTc at its relaxed geometry, from the Alexandria database.

a = 4.085 Å, b = 4.085 Å, c = 10.279 Å
α = 78.54°, β = 78.54°, γ = 90.00°
Site moments in Bohr magnetons follow the coordinates.
Atoms (fractional coordinates):
Mg  0.500  0.500  0.000  0.00
Mg  0.250  0.750  0.500  0.00
Hf  0.639  0.125  0.250  0.00
Hf  0.111  0.625  0.250  0.00
Hf  0.375  0.361  0.750  0.00
Hf  0.875  0.889  0.750  0.00
Tc  0.000  0.000  0.000  0.35
Tc  0.750  0.250  0.500  0.35

Calculated values
Space-group type ... No. 122
ΔH_f (0 K) ... 0.63 eV per atom
DOS(E_F) ... 8.217 states/eV per cell

3.
The following is a GGA-PBE calculation of crystalline Ti4CoOs at its relaxed geometry, from the Alexandria database.

a = 4.178 Å, b = 4.179 Å, c = 5.948 Å
α = 89.93°, β = 89.96°, γ = 90.00°
Atoms (fractional coordinates):
Ti  0.501  0.997  0.257
Ti  0.501  0.998  0.739
Ti  0.001  0.498  0.740
Ti  0.001  0.497  0.257
Co  0.001  0.997  0.498
Os  0.501  0.497  0.998

Calculated values
Space-group type ... No. 12
ΔH_f (0 K) ... -0.08 eV per atom
DOS(E_F) ... 7.887 states/eV per cell

4.
The following is a GGA-PBE calculation of crystalline ZnBiH at its relaxed geometry, from the Alexandria database.

a = 4.158 Å, b = 4.158 Å, c = 4.779 Å
α = 115.79°, β = 115.79°, γ = 90.00°
Atoms (fractional coordinates):
H  0.947  0.947  0.894
Zn  0.705  0.705  0.409
Bi  0.198  0.198  0.396

Calculated values
Space-group type ... No. 107
DOS(E_F) ... 0.954 states/eV per cell
Distance to the lowest polymorph of the same formula ... 260.8 meV/atom

5.
The following is a GGA-PBE calculation of crystalline Zn3Ga4Ag2 at its relaxed geometry, from the Alexandria database.

a = 2.965 Å, b = 2.965 Å, c = 20.662 Å
α = 90.00°, β = 90.00°, γ = 120.00°
Atoms (fractional coordinates):
Zn  0.000  0.000  0.981
Zn  0.000  0.000  0.320
Zn  0.667  0.333  0.660
Ga  0.000  0.000  0.549
Ga  0.667  0.333  0.430
Ga  0.667  0.333  0.213
Ga  0.000  0.000  0.765
Ag  0.667  0.333  0.086
Ag  0.667  0.333  0.875

Calculated values
Space-group type ... No. 156
ΔH_f (0 K) ... 0.04 eV per atom
DOS(E_F) ... 1.240 states/eV per cell

6.
The following is a GGA-PBE calculation of crystalline NbCu3Sb at its relaxed geometry, from the Alexandria database.

a = 4.778 Å, b = 4.778 Å, c = 4.778 Å
α = 90.00°, β = 90.00°, γ = 90.00°
Atoms (fractional coordinates):
Sb  0.500  0.500  0.500
Nb  0.000  0.000  0.000
Cu  0.000  0.500  0.000
Cu  0.000  0.000  0.500
Cu  0.500  0.000  0.000

Calculated values
Space-group type ... No. 221
DOS(E_F) ... 6.084 states/eV per cell
Raw formation energy ... 1.294 eV/atom

7.
The following is a GGA-PBE calculation of crystalline NaPrGe2 at its relaxed geometry, from the Alexandria database.

a = 4.358 Å, b = 4.604 Å, c = 4.604 Å
α = 90.00°, β = 90.00°, γ = 90.00°
Atoms (fractional coordinates):
Pr  0.500  0.000  0.000
Na  0.500  0.500  0.500
Ge  0.000  0.000  0.500
Ge  0.000  0.500  0.000

Calculated values
Space-group type ... No. 123
ΔH_f (0 K) ... -0.38 eV per atom
DOS(E_F) ... 1.122 states/eV per cell
Distance to the lowest polymorph of the same formula ... 126.1 meV/atom

8.
The following is a GGA-PBE calculation of crystalline Al2TcOs at its relaxed geometry, from the Alexandria database.

a = 4.316 Å, b = 4.316 Å, c = 2.991 Å
α = 90.00°, β = 90.00°, γ = 89.97°
Atoms (fractional coordinates):
Os  0.500  0.000  0.500
Tc  0.000  0.500  0.500
Al  0.000  0.000  0.000
Al  0.500  0.500  0.000

Calculated values
Space-group type ... No. 123
ΔH_f (0 K) ... -0.33 eV per atom
DOS(E_F) ... 3.287 states/eV per cell
Distance to the lowest polymorph of the same formula ... 4.6 meV/atom

> The highest DOS(E_F) belongs to which entry?

TlNi2SBr